Entry 1:
DFT (PBE-GGA) results for a relaxed PmThHgRh crystal.

Results
- Excess energy over the best structure of this formula in the dataset: 0 meV/atom
- E: -5.52 eV per atom
- Crystal system: trigonal
- Magnetization: 0.00 μB per atom
- Energy relative to the elements: -2.25 eV/f.u.

Structure (CIF):
```
data_PmThHgRh
_chemical_formula_sum 'Pm3 Th3 Hg3 Rh3'
_cell_length_a 4.0968
_cell_length_b 4.0968
_cell_length_c 23.3799
_cell_angle_alpha 90.00
_cell_angle_beta 90.00
_cell_angle_gamma 120.00
_symmetry_space_group_name_H-M 'R 3 m'
_symmetry_Int_Tables_number 160
_symmetry_space_group_name_Hall 'R 3 -2"'
loop_
_atom_site_label
_atom_site_type_symbol
_atom_site_fract_x
_atom_site_fract_y
_atom_site_fract_z
Pm1 Pm 0.0000 0.0000 0.0000
Th1 Th 0.0000 0.0000 0.8027
Hg1 Hg 0.0000 0.0000 0.2354
Rh1 Rh 0.0000 0.0000 0.4059
```

---

Entry 2:
DFT (PBE-GGA) results for a relaxed PmTlHgRh crystal.

Results
- E: -3.94 eV per atom
- Crystal system: cubic
- Magnetization: 0.00 μB per atom
- Energy relative to the elements: -0.99 eV/f.u.

Structure (CIF):
```
data_PmTlHgRh
_chemical_formula_sum 'Pm4 Tl4 Hg4 Rh4'
_cell_length_a 7.133
_cell_length_b 7.133
_cell_length_c 7.133
_cell_angle_alpha 90.00
_cell_angle_beta 90.00
_cell_angle_gamma 90.00
_symmetry_space_group_name_H-M 'F -4 3 m'
_symmetry_Int_Tables_number 216
_symmetry_space_group_name_Hall 'F -4 2 3'
loop_
_atom_site_label
_atom_site_type_symbol
_atom_site_fract_x
_atom_site_fract_y
_atom_site_fract_z
Pm1 Pm 0.000 0.000 0.000
Tl1 Tl 0.000 0.000 0.500
Hg1 Hg 0.250 0.250 0.250
Rh1 Rh 0.250 0.250 0.750
```

---

What did the second record say?
DFT (PBE-GGA) results for a relaxed PmTlHgRh crystal.

Results
- E: -3.94 eV per atom
- Crystal system: cubic
- Magnetization: 0.00 μB per atom
- Energy relative to the elements: -0.99 eV/f.u.

Structure (CIF):
```
data_PmTlHgRh
_chemical_formula_sum 'Pm4 Tl4 Hg4 Rh4'
_cell_length_a 7.133
_cell_length_b 7.133
_cell_length_c 7.133
_cell_angle_alpha 90.00
_cell_angle_beta 90.00
_cell_angle_gamma 90.00
_symmetry_space_group_name_H-M 'F -4 3 m'
_symmetry_Int_Tables_number 216
_symmetry_space_group_name_Hall 'F -4 2 3'
loop_
_atom_site_label
_atom_site_type_symbol
_atom_site_fract_x
_atom_site_fract_y
_atom_site_fract_z
Pm1 Pm 0.000 0.000 0.000
Tl1 Tl 0.000 0.000 0.500
Hg1 Hg 0.250 0.250 0.250
Rh1 Rh 0.250 0.250 0.750
```

---

- Which of these has the lowest energy relative to the elements?
  PmThHgRh